[1]
Entry from the Alexandria database: a relaxed AcCuAsSe crystal (PBE).

Summary:
total magnetic moment: 0.0 μB per formula unit
E_form (uncorrected): -3.8 eV per formula unit

Cell: 4.2548 4.2548 10.1175 Å, 90.00 90.00 90.00°
Atoms (fractional coordinates):
Ac (0.5000, 0.0000, 0.7407)
Ac (0.0000, 0.5000, 0.2593)
Cu (0.5000, 0.5000, 0.0000)
Cu (0.0000, 0.0000, 0.0000)
As (0.0000, 0.5000, 0.8584)
As (0.5000, 0.0000, 0.1416)
Se (0.0000, 0.0000, 0.5000)
Se (0.5000, 0.5000, 0.5000)

---

[2]
Entry from the Alexandria database: a relaxed AcZrCuAs3 crystal (PBE).

Summary:
total magnetic moment: 0.0 μB per formula unit
energy of formation from the pure elements: -860 meV/atom

Cell: 4.0202 8.3224 9.0072 Å, 107.48 90.00 90.00°
Atoms (fractional coordinates):
Ac (0.2500, 0.1992, 0.2438)
Ac (0.7500, 0.8008, 0.7562)
Zr (0.2500, 0.6735, 0.1481)
Zr (0.7500, 0.3265, 0.8519)
Cu (0.2500, 0.0899, 0.5945)
Cu (0.7500, 0.9101, 0.4055)
As (0.7500, 0.8930, 0.1290)
As (0.2500, 0.1070, 0.8710)
As (0.2500, 0.7735, 0.4697)
As (0.7500, 0.2265, 0.5303)
As (0.7500, 0.4556, 0.1722)
As (0.2500, 0.5444, 0.8278)

---

[3]
Entry from the Alexandria database: a relaxed AcDyAs2 crystal (PBE).

Summary:
total magnetic moment: 0.0 μB per formula unit
polymorph energy (0 for the lowest one): 453.9 meV per atom
energy of formation from the pure elements: -1019 meV/atom

Cell: 3.7411 5.2924 5.2924 Å, 90.00 90.00 90.00°
Atoms (fractional coordinates):
Ac (0.5000, 0.5000, 0.5000)
As (0.0000, 0.0000, 0.5000)
As (0.0000, 0.5000, 0.0000)
Dy (0.5000, 0.0000, 0.0000)

---

Repeat the third record exactly.
Entry from the Alexandria database: a relaxed AcDyAs2 crystal (PBE).

Summary:
total magnetic moment: 0.0 μB per formula unit
polymorph energy (0 for the lowest one): 453.9 meV per atom
energy of formation from the pure elements: -1019 meV/atom

Cell: 3.7411 5.2924 5.2924 Å, 90.00 90.00 90.00°
Atoms (fractional coordinates):
Ac (0.5000, 0.5000, 0.5000)
As (0.0000, 0.0000, 0.5000)
As (0.0000, 0.5000, 0.0000)
Dy (0.5000, 0.0000, 0.0000)